(1)
Entry from Alexandria: a geometry-optimized Zr2GeS6 structure (GGA-PBE).

Properties
Its symmetry is P4_2/mnm (136). As for the formation energy (no corrections): -782 kJ/mol of formula units. Its crystal system is tetragonal. The total energy is -54.6 eV/f.u.

Structure (POSCAR):
```
Zr2GeS6
1.0
-2.011 -5.179 2.279
3.700 0.626 4.687
-7.989 5.550 5.564
Zr S Ge
4 12 2
Cartesian
-0.445 -1.380 4.381
-5.855 2.378 8.149
-2.705 1.879 1.884
-5.284 3.671 3.680
-4.764 2.263 5.840
-4.121 0.530 8.491
-7.620 0.579 7.401
-4.835 -1.214 5.555
-2.179 0.467 4.039
1.191 -3.209 4.911
1.321 0.419 5.129
-1.536 -1.265 6.691
-2.216 -3.176 3.637
0.498 -1.343 2.055
-4.083 4.174 8.893
-1.465 2.211 6.976
0.000 0.000 0.000
-3.150 0.499 6.265
```

---

(2)
Entry from Alexandria: a geometry-optimized TaWBr2 structure (GGA-PBE).

Properties
Its symmetry is Cmmm (65). As for the formation energy (no corrections): 398 kJ/mol of formula units. Its polymorph energy (0 for the lowest one) is 4.35 eV/f.u. Its crystal system is orthorhombic. The total energy is -24.0 eV/f.u.

Structure (POSCAR):
```
TaWBr2
1.0
-1.185 1.400 2.618
-1.659 -0.590 -2.668
-2.445 -8.376 3.372
Br W Ta
2 1 1
Cartesian
-0.014 -0.048 0.019
-1.208 -4.140 1.667
-3.255 -5.877 2.504
-2.033 -1.689 0.818
```

---

(3)
Entry from Alexandria: a geometry-optimized Tb2PtAu structure (GGA-PBE).

Properties
Its symmetry is R3m (160). The value obtained for the energy of formation is -0.967 eV per atom. Its crystal system is trigonal. The total energy is -22.4 eV/f.u.

Structure (POSCAR):
```
Tb2PtAu
1.0
4.101 0.000 0.000
2.050 3.551 0.000
2.050 1.184 7.020
Au Tb Pt
1 2 1
Cartesian
4.101 2.367 3.490
2.050 1.184 1.587
2.050 1.184 5.434
4.101 2.367 0.019
```

---

(4)
Entry from Alexandria: a geometry-optimized SmTmMgTi structure (GGA-PBE).

Properties
Its symmetry is F-43m (216). The value obtained for the energy of formation is 0.148 eV per atom. Its crystal system is cubic. The total energy is -18.1 eV/f.u.

Structure (POSCAR):
```
SmTmMgTi
1.0
-4.822 1.472 -1.499
-2.919 -3.203 -2.981
-4.227 -2.369 2.045
Sm Mg Tm Ti
1 1 1 1
Cartesian
-5.984 -2.050 -1.218
-8.976 -3.075 -1.827
0.000 0.000 0.000
-2.992 -1.025 -0.609
```

---

(5)
Entry from Alexandria: a geometry-optimized TmPu2ThSb4 structure (GGA-PBE).

Properties
Its symmetry is P2/m (10). As for the formation energy (no corrections): -633 kJ/mol of formula units. Its crystal system is monoclinic. The total energy is -63.6 eV/f.u.

Structure (POSCAR):
```
TmPu2ThSb4
1.0
-3.250 -2.969 -0.643
1.810 -0.368 -7.450
5.240 -5.497 -1.105
Pu Sb Th Tm
2 4 1 1
Cartesian
5.240 -5.497 -1.105
0.995 -4.233 -0.874
5.257 -4.363 -6.424
2.729 -5.667 -3.021
-1.457 -4.471 -2.775
1.071 -3.167 -6.178
-0.720 -1.669 -4.047
3.525 -2.933 -4.278
```

---

(6)
Entry from Alexandria: a geometry-optimized LaPr2Dy5Er structure (GGA-PBE).

Properties
Its symmetry is I4/mcm (140). The value obtained for the energy of formation is 0.261 eV per atom. Its crystal system is tetragonal. The total energy is -39.7 eV/f.u.

Structure (POSCAR):
```
LaPr2Dy5Er
1.0
-0.632 1.894 8.534
7.423 -4.403 1.527
0.739 7.825 -6.183
Pr La Er Dy
4 2 2 10
Cartesian
0.485 0.651 5.453
6.306 -3.160 4.607
2.762 -1.459 1.590
4.030 -1.050 8.471
2.067 3.286 -0.576
5.463 2.031 4.454
5.779 1.084 0.187
1.751 4.233 3.691
0.000 0.000 0.000
2.520 1.438 2.475
0.975 5.633 -3.071
1.248 6.231 1.317
6.282 -0.914 2.561
3.396 -1.254 5.030
4.736 3.281 -2.985
6.555 -0.316 6.949
2.794 2.036 6.863
5.010 3.879 1.403
```

---

| no. | calculated volume (Å³ per cell) |
| --- | --- |
| 1 | 404.0 |
| 2 | 78.4 |
| 3 | 102.2 |
| 4 | 102.9 |
| 5 | 247.0 |
| 6 | 602.9 |